Record 1
# ScBeCdIn2 PBE optimized geometry
data_ScBeCdIn2
_space_group_name_H-M_alt 'P 4/m m m'
_space_group_IT_number 123
_space_group_name_Hall '-P 4 2'
_cell_length_a 5.4124
_cell_length_b 5.4124
_cell_length_c 4.4474
_cell_angle_alpha 90.00
_cell_angle_beta 90.00
_cell_angle_gamma 90.00
loop_
_atom_site_label
_atom_site_type_symbol
_atom_site_fract_x
_atom_site_fract_y
_atom_site_fract_z
_atom_site_occupancy
Sc1 Sc 0.0000 0.0000 0.0000 1
Be1 Be 0.5000 0.5000 0.0000 1
Cd1 Cd 0.5000 0.5000 0.5000 1
In1 In 0.0000 0.5000 0.5000 1
# Calculated total energy in Ry/atom: -0.1940

***

Record 2
# Ho8TmIn6 PBE optimized geometry
data_Ho8TmIn6
_space_group_name_H-M_alt 'R -3'
_space_group_IT_number 148
_space_group_name_Hall '-R 3'
_cell_length_a 8.9798
_cell_length_b 8.9798
_cell_length_c 19.3875
_cell_angle_alpha 90.00
_cell_angle_beta 90.00
_cell_angle_gamma 120.00
loop_
_atom_site_label
_atom_site_type_symbol
_atom_site_fract_x
_atom_site_fract_y
_atom_site_fract_z
_atom_site_occupancy
Ho1 Ho 0.0000 0.0000 0.1665 1
Ho2 Ho 0.0000 0.3335 0.0539 1
Tm1 Tm 0.0000 0.0000 0.5000 1
In1 In 0.0000 0.3322 0.5595 1
# Calculated total energy in Ry/atom: -0.2968

***

Record 3
# ReSBrCl2 PBE optimized geometry
data_ReSBrCl2
_space_group_name_H-M_alt 'P 4/m m m'
_space_group_IT_number 123
_space_group_name_Hall '-P 4 2'
_cell_length_a 5.1962
_cell_length_b 5.1962
_cell_length_c 4.9688
_cell_angle_alpha 90.00
_cell_angle_beta 90.00
_cell_angle_gamma 90.00
loop_
_atom_site_label
_atom_site_type_symbol
_atom_site_fract_x
_atom_site_fract_y
_atom_site_fract_z
_atom_site_occupancy
Re1 Re 0.0000 0.0000 0.0000 1
S1 S 0.5000 0.5000 0.0000 1
Br1 Br 0.5000 0.5000 0.5000 1
Cl1 Cl 0.0000 0.5000 0.5000 1
# Calculated total energy in Ry/atom: -0.2100
# Uncorrected formation energy in kJ/mol of formula units: 739
# E above lowest polymorph in meV per atom: 1355.2

***

Record 4
# Na2BeCrW PBE optimized geometry
data_Na2BeCrW
_space_group_name_H-M_alt 'P 4/m m m'
_space_group_IT_number 123
_space_group_name_Hall '-P 4 2'
_cell_length_a 5.2858
_cell_length_b 5.2858
_cell_length_c 4.5323
_cell_angle_alpha 90.00
_cell_angle_beta 90.00
_cell_angle_gamma 90.00
loop_
_atom_site_label
_atom_site_type_symbol
_atom_site_fract_x
_atom_site_fract_y
_atom_site_fract_z
_atom_site_occupancy
Na1 Na 0.0000 0.5000 0.0000 1
Be1 Be 0.0000 0.0000 0.5000 1
Cr1 Cr 0.5000 0.5000 0.0000 1
W1 W 0.5000 0.5000 0.5000 1
# Calculated total energy in Ry/atom: -0.2914

***

The M_tot results, record by record, are as follows: 0.0 0.0 5.7 1.0 μB per formula unit.